The following is a DFT calculation (PBE) of a relaxed structure of CaGdCdRu. Values from VASP.

**Energy of formation**: -0.095 eV/atom
**Total magnetization**: 7.0 μB/cell
**Space group**: No. 216
**Crystal system**: cubic

Quantum ESPRESSO input file:
```
&SYSTEM
  ibrav = 0, nat = 4, ntyp = 4
/
ATOMIC_SPECIES
Ca 40.08 Ca.upf
Cd 112.41 Cd.upf
Gd 157.25 Gd.upf
Ru 101.07 Ru.upf
CELL_PARAMETERS angstrom
5.0750 0.0000 0.0000
2.5375 4.3951 0.0000
2.5375 1.4650 4.1437
ATOMIC_POSITIONS angstrom
Ca 7.6125 4.3951 3.1078
Cd 5.0750 2.9300 2.0718
Gd 2.5375 1.4650 1.0359
Ru 0.0000 0.0000 0.0000
```


The following is a DFT calculation (PBE) of a relaxed structure of YAsP2. Values from VASP.

**Energy of formation**: -0.317 eV/atom
**Total magnetization**: 0.0 μB/cell
**Space group**: No. 139
**Crystal system**: tetragonal

Quantum ESPRESSO input file:
```
&SYSTEM
  ibrav = 0, nat = 4, ntyp = 3
/
ATOMIC_SPECIES
Y 88.91 Y.upf
P 30.97 P.upf
As 74.92 As.upf
CELL_PARAMETERS angstrom
5.5090 -0.0311 0.0000
2.6309 4.8403 0.0000
-4.0699 -2.4046 2.8290
ATOMIC_POSITIONS angstrom
Y 1.3154 2.4201 1.4145
P 4.0699 2.4046 0.0000
As 2.7545 -0.0155 1.4145
P 0.0000 0.0000 0.0000
```


The following is a DFT calculation (PBE) of a relaxed structure of Hf5Cr. Values from VASP.

**Energy of formation**: 0.189 eV/atom
**Total magnetization**: 3.3 μB/cell
**Space group**: No. 65
**Crystal system**: orthorhombic

Quantum ESPRESSO input file:
```
&SYSTEM
  ibrav = 0, nat = 6, ntyp = 2
/
ATOMIC_SPECIES
Hf 178.49 Hf.upf
Cr 52.00 Cr.upf
CELL_PARAMETERS angstrom
4.3735 0.0000 0.0000
0.0000 4.4090 0.0000
0.0000 -2.2045 6.5997
ATOMIC_POSITIONS angstrom
Hf 2.1867 2.2045 0.0000
Cr 0.0000 0.0000 0.0000
Hf 0.0000 0.0000 4.4203
Hf 2.1867 2.2045 4.4209
Hf 2.1867 0.0000 2.1788
Hf 0.0000 2.2045 2.1795
```


The following is a DFT calculation (PBE) of a relaxed structure of Li2Rh2Au. Values from VASP.

**Energy of formation**: 0.035 eV/atom
**Total magnetization**: 1.9 μB/cell
**Space group**: No. 127
**Crystal system**: tetragonal

Quantum ESPRESSO input file:
```
&SYSTEM
  ibrav = 0, nat = 10, ntyp = 3
/
ATOMIC_SPECIES
Au 196.97 Au.upf
Rh 102.91 Rh.upf
Li 6.94 Li.upf
CELL_PARAMETERS angstrom
7.1238 0.0000 0.0000
0.0000 7.1238 0.0000
0.0000 0.0000 2.8358
ATOMIC_POSITIONS angstrom
Au 3.5619 3.5619 0.0000
Rh 4.4414 0.8795 0.0000
Li 2.3230 1.2389 1.4179
Rh 2.6824 6.2443 0.0000
Rh 0.8795 2.6824 0.0000
Au 0.0000 0.0000 0.0000
Rh 6.2443 4.4414 0.0000
Li 5.8849 2.3230 1.4179
Li 1.2389 4.8008 1.4179
Li 4.8008 5.8849 1.4179
```


The following is a DFT calculation (PBE) of a relaxed structure of Pm2In2Cu15. Values from VASP.

**Energy of formation**: -0.095 eV/atom
**Total magnetization**: 0.0 μB/cell
**Space group**: No. 166
**Crystal system**: trigonal

Quantum ESPRESSO input file:
```
&SYSTEM
  ibrav = 0, nat = 19, ntyp = 3
/
ATOMIC_SPECIES
Cu 63.55 Cu.upf
In 114.82 In.upf
Pm 145.00 Pm.upf
CELL_PARAMETERS angstrom
6.6542 -0.0233 -0.0208
0.8402 6.6010 -0.0208
0.8402 0.7374 6.5597
ATOMIC_POSITIONS angstrom
Cu 4.8882 0.2077 1.9780
In 7.4278 6.5192 5.8090
Cu 5.0063 4.3940 1.0173
Cu 5.0063 1.5152 4.2481
Cu 3.3282 2.9211 5.5008
Cu 2.6061 4.5889 -0.0208
Cu 0.4201 3.3005 -0.0104
Pm 2.9573 2.5956 2.3128
Cu 2.1519 4.7675 4.2481
Cu 3.3282 5.7999 2.2701
Cu 0.8402 4.8200 1.9780
Cu 6.1826 2.5476 2.2701
Cu 3.3271 -0.0117 -0.0104
Cu 0.8402 2.5184 4.5609
Cu 0.4201 0.3687 3.2799
Pm 5.3772 4.7195 4.2053
Cu 2.6061 0.5063 4.5609
Cu 4.8882 1.9888 -0.0208
In 0.9067 0.7958 0.7091
```


The following is a DFT calculation (PBE) of a relaxed structure of Sm4HfZn5. Values from VASP.

**Energy of formation**: -0.264 eV/atom
**Total magnetization**: 0.0 μB/cell
**Space group**: No. 123
**Crystal system**: tetragonal

Quantum ESPRESSO input file:
```
&SYSTEM
  ibrav = 0, nat = 10, ntyp = 3
/
ATOMIC_SPECIES
Zn 65.41 Zn.upf
Sm 150.36 Sm.upf
Hf 178.49 Hf.upf
CELL_PARAMETERS angstrom
-1.7213 3.1008 0.2257
-3.1083 -1.7109 -0.1993
-0.3305 -1.4893 17.9417
ATOMIC_POSITIONS angstrom
Zn -2.5800 -0.0498 8.9841
Sm -0.0620 -0.2795 3.3677
Zn -2.7189 -0.6755 16.5222
Sm -0.2685 -1.2098 14.5741
Zn -2.6485 -0.3582 12.6998
Zn -2.4412 0.5760 1.4459
Sm -0.1308 -0.5892 7.0985
Hf 0.0000 0.0000 0.0000
Zn -2.5116 0.2587 5.2684
Sm -0.1997 -0.9001 10.8433
```


The following is a DFT calculation (PBE) of a relaxed structure of Zr2ScIrO. Values from VASP.

**Total magnetization**: 0.0 μB/cell
**Uncorrected formation energy**: -1.376 eV per atom
**Space group**: No. 123
**Crystal system**: tetragonal

Quantum ESPRESSO input file:
```
&SYSTEM
  ibrav = 0, nat = 5, ntyp = 4
/
ATOMIC_SPECIES
O 16.00 O.upf
Zr 91.22 Zr.upf
Ir 192.22 Ir.upf
Sc 44.96 Sc.upf
CELL_PARAMETERS angstrom
4.4436 0.0000 0.0000
0.0000 4.4436 0.0000
0.0000 0.0000 4.2415
ATOMIC_POSITIONS angstrom
O 0.0000 0.0000 0.0000
Zr 0.0000 2.2218 0.0000
Ir 2.2218 2.2218 2.1207
Zr 2.2218 0.0000 0.0000
Sc 0.0000 0.0000 2.1207
```


The following is a DFT calculation (PBE) of a relaxed structure of HgSeBr2. Values from VASP.

**Total magnetization**: 0.0 μB/cell
**Uncorrected formation energy**: 0.105 eV per atom
**Space group**: No. 119
**ΔE to the lowest computed polymorph**: 282 meV per atom
**Crystal system**: tetragonal

Quantum ESPRESSO input file:
```
&SYSTEM
  ibrav = 0, nat = 4, ntyp = 3
/
ATOMIC_SPECIES
Br 79.90 Br.upf
Se 78.96 Se.upf
Hg 200.59 Hg.upf
CELL_PARAMETERS angstrom
-0.2408 -7.7234 1.8720
4.9168 -5.5507 2.8684
-3.1301 7.3034 0.2769
ATOMIC_POSITIONS angstrom
Br 0.0000 0.0000 0.0000
Se -0.5164 -3.5286 2.2596
Br 2.0624 -2.4422 2.7578
Hg 2.3380 -6.6371 2.3702
```


The following is a DFT calculation (PBE) of a relaxed structure of Y7Er2Th2. Values from VASP.

**Energy of formation**: 0.168 eV/atom
**Total magnetization**: 0.0 μB/cell
**Space group**: No. 47
**ΔE to the lowest computed polymorph**: 0 meV per atom
**Crystal system**: orthorhombic

Quantum ESPRESSO input file:
```
&SYSTEM
  ibrav = 0, nat = 11, ntyp = 3
/
ATOMIC_SPECIES
Y 88.91 Y.upf
Th 232.04 Th.upf
Er 167.26 Er.upf
CELL_PARAMETERS angstrom
-1.1513 -7.6139 -5.4865
4.2849 4.1203 -6.6171
2.0822 -3.2385 4.0575
ATOMIC_POSITIONS angstrom
Y 0.6849 -3.9750 0.3310
Y 1.7509 -0.5297 -5.1747
Y 2.9876 -0.8549 -2.2134
Th 2.4260 -5.3548 -9.3723
Er 1.0420 -3.5829 -3.3935
Er 4.1738 -3.1492 -4.6526
Y 0.0000 0.0000 0.0000
Y 2.2282 -5.8773 -5.8327
Th 2.7898 -1.3774 1.3261
Y 3.4649 -6.2025 -2.8714
Y 4.5309 -2.7571 -8.3772
```


The following is a DFT calculation (PBE) of a relaxed structure of KTlSn. Values from VASP.

**Energy of formation**: -0.086 eV/atom
**Total magnetization**: 0.0 μB/cell
**Space group**: No. 187
**Crystal system**: hexagonal

Quantum ESPRESSO input file:
```
&SYSTEM
  ibrav = 0, nat = 3, ntyp = 3
/
ATOMIC_SPECIES
K 39.10 K.upf
Sn 118.71 Sn.upf
Tl 204.38 Tl.upf
CELL_PARAMETERS angstrom
4.8634 -2.8079 0.0000
0.0000 5.6157 0.0000
0.0000 0.0000 3.4807
ATOMIC_POSITIONS angstrom
K 3.2422 0.0000 1.7403
Sn 1.6211 2.8079 0.0000
Tl 0.0000 0.0000 0.0000
```


The following is a DFT calculation (PBE) of a relaxed structure of Al2PtBr. Values from VASP.

**Total magnetization**: 0.0 μB/cell
**Uncorrected formation energy**: -0.238 eV per atom
**Space group**: No. 160
**ΔE to the lowest computed polymorph**: 385 meV per atom
**Crystal system**: trigonal

Quantum ESPRESSO input file:
```
&SYSTEM
  ibrav = 0, nat = 4, ntyp = 3
/
ATOMIC_SPECIES
Pt 195.08 Pt.upf
Al 26.98 Al.upf
Br 79.90 Br.upf
CELL_PARAMETERS angstrom
-1.3672 -2.4623 7.7748
1.4680 -4.2151 6.9612
1.7090 -0.9645 8.0330
ATOMIC_POSITIONS angstrom
Pt 1.3209 -5.5776 16.6183
Al 0.4586 -1.9363 5.7691
Al 0.0089 -0.0375 0.1118
Br 0.9264 -3.9115 11.6543
```


The following is a DFT calculation (PBE) of a relaxed structure of Pm5Dy3. Values from VASP.

**Energy of formation**: 0.019 eV/atom
**Total magnetization**: 0.0 μB/cell
**Space group**: No. 47
**Crystal system**: orthorhombic

Quantum ESPRESSO input file:
```
&SYSTEM
  ibrav = 0, nat = 8, ntyp = 2
/
ATOMIC_SPECIES
Dy 162.50 Dy.upf
Pm 145.00 Pm.upf
CELL_PARAMETERS angstrom
5.0872 0.0000 0.0000
0.0000 5.1125 0.0000
0.0000 0.0000 10.2183
ATOMIC_POSITIONS angstrom
Dy 2.5436 0.0000 2.5713
Pm 0.0000 2.5562 2.5713
Pm 0.0000 0.0000 5.1091
Pm 0.0000 0.0000 0.0000
Pm 0.0000 2.5562 7.6469
Pm 2.5436 2.5562 0.0000
Dy 2.5436 2.5562 5.1091
Dy 2.5436 0.0000 7.6469
```


The following is a DFT calculation (PBE) of a relaxed structure of NaGaHgAu. Values from VASP.

**Energy of formation**: -0.218 eV/atom
**Total magnetization**: 0.0 μB/cell
**Space group**: No. 8
**ΔE to the lowest computed polymorph**: 0 meV per atom
**Crystal system**: monoclinic

Quantum ESPRESSO input file:
```
&SYSTEM
  ibrav = 0, nat = 4, ntyp = 4
/
ATOMIC_SPECIES
Hg 200.59 Hg.upf
Ga 69.72 Ga.upf
Au 196.97 Au.upf
Na 22.99 Na.upf
CELL_PARAMETERS angstrom
-0.1744 -0.8898 -4.4864
-3.5150 -1.1279 2.6951
-4.4319 3.3639 -0.4949
ATOMIC_POSITIONS angstrom
Hg -3.3745 -0.6450 0.2591
Ga -4.6381 2.0781 -0.2319
Au -6.0617 1.4083 -2.3785
Na -2.8992 0.7993 -2.3807
```


The following is a DFT calculation (PBE) of a relaxed structure of NiHg2Br. Values from VASP.

**Total magnetization**: 1.1 μB/cell
**Uncorrected formation energy**: 0.152 eV per atom
**Space group**: No. 35
**ΔE to the lowest computed polymorph**: 105 meV per atom
**Crystal system**: orthorhombic

Quantum ESPRESSO input file:
```
&SYSTEM
  ibrav = 0, nat = 4, ntyp = 3
/
ATOMIC_SPECIES
Br 79.90 Br.upf
Hg 200.59 Hg.upf
Ni 58.69 Ni.upf
CELL_PARAMETERS angstrom
-1.1231 -0.5646 -3.4553
0.6432 -2.7414 2.3644
-8.8216 0.3533 2.8096
ATOMIC_POSITIONS angstrom
Br -6.2356 -1.4129 1.3641
Hg -0.1161 0.0046 0.0370
Ni -4.5053 0.1804 1.4349
Hg -2.8553 -1.5482 0.2875
```